#i
Below is an optimized crystal structure of HfNi3Bi, with properties calculated at the GGA-PBE level.

Unit cell a=4.6532 b=4.6532 c=4.6532 alpha=90.00 beta=90.00 gamma=90.00
Last column: nearest neighbours and their distance in Å.
Space group Pm-3m (No. 221)
One atom of each set of equivalent atoms:
Hf1 0.0000 0.0000 0.0000 [1 per cell]  6 Ni 2.33
Ni1 0.0000 0.0000 0.5000 [3 per cell]  2 Hf 2.33
Bi1 0.5000 0.5000 0.5000 [1 per cell]  12 Ni 3.29

---

#ii
Below is an optimized crystal structure of HfNi3Bi, with properties calculated at the GGA-PBE level.

Unit cell a=4.6473 b=4.6473 c=4.6473 alpha=90.00 beta=90.00 gamma=90.00
Last column: nearest neighbours and their distance in Å.
Space group Pm-3m (No. 221)
One atom of each set of equivalent atoms:
Hf1 0.0000 0.0000 0.0000 [1 per cell]  12 Ni 3.29
Ni1 0.0000 0.5000 0.5000 [3 per cell]  2 Bi 2.32
Bi1 0.5000 0.5000 0.5000 [1 per cell]  6 Ni 2.32

---

It is #i that is most stable; the runner-up trails by 127 meV/atom.

---

#i
Below is an optimized crystal structure of Hf3BiOs, with properties calculated at the GGA-PBE level.

Unit cell a=5.0539 b=5.0539 c=5.0539 alpha=90.00 beta=90.00 gamma=90.00
Last column: nearest neighbours and their distance in Å.
Space group Pm-3m (No. 221)
One atom of each set of equivalent atoms:
Hf1 0.0000 0.0000 0.5000 [3 per cell]  2 Os 2.53
Bi1 0.5000 0.5000 0.5000 [1 per cell]  12 Hf 3.57
Os1 0.0000 0.0000 0.0000 [1 per cell]  6 Hf 2.53

---

#ii
Below is an optimized crystal structure of Hf3BiOs, with properties calculated at the GGA-PBE level.

Unit cell a=5.1988 b=5.1988 c=5.1988 alpha=90.00 beta=90.00 gamma=90.00
Last column: nearest neighbours and their distance in Å.
Space group Pm-3m (No. 221)
One atom of each set of equivalent atoms:
Hf1 0.0000 0.0000 0.5000 [3 per cell]  2 Bi 2.60
Bi1 0.0000 0.0000 0.0000 [1 per cell]  6 Hf 2.60
Os1 0.5000 0.5000 0.5000 [1 per cell]  12 Hf 3.68

---

It is #i that is most stable; the runner-up trails by 1835 meV/atom.

---

#i
Below is an optimized crystal structure of HfBiP3, with properties calculated at the GGA-PBE level.

Unit cell a=5.0511 b=5.0511 c=5.0511 alpha=90.00 beta=90.00 gamma=90.00
Last column: nearest neighbours and their distance in Å.
Space group Pm-3m (No. 221)
One atom of each set of equivalent atoms:
Hf1 0.0000 0.0000 0.0000 [1 per cell]  12 P 3.57
Bi1 0.5000 0.5000 0.5000 [1 per cell]  6 P 2.53
P1 0.0000 0.5000 0.5000 [3 per cell]  2 Bi 2.53

---

#ii
Below is an optimized crystal structure of HfBiP3, with properties calculated at the GGA-PBE level.

Unit cell a=4.9896 b=4.9896 c=4.9896 alpha=90.00 beta=90.00 gamma=90.00
Last column: nearest neighbours and their distance in Å.
Space group Pm-3m (No. 221)
One atom of each set of equivalent atoms:
Hf1 0.0000 0.0000 0.0000 [1 per cell]  6 P 2.49
Bi1 0.5000 0.5000 0.5000 [1 per cell]  12 P 3.53
P1 0.0000 0.0000 0.5000 [3 per cell]  2 Hf 2.49

---

It is #ii that is most stable; the runner-up trails by 1041 meV/atom.

---

#i
Below is an optimized crystal structure of HfPaBi, with properties calculated at the GGA-PBE level.

Unit cell a=5.9026 b=3.2768 c=8.4397 alpha=90.00 beta=103.88 gamma=90.00
Last column: nearest neighbours and their distance in Å.
Space group P2_1/m (No. 11)
One atom of each set of equivalent atoms:
Hf1 0.1466 0.2500 0.1378 [2 per cell]  4 Hf 3.03-3.28, 2 Bi 3.08, 3 Pa 3.17-3.39
Pa1 0.3394 0.2500 0.8180 [2 per cell]  5 Hf 3.17-3.40, 2 Pa 3.28, 2 Bi 3.39
Bi1 0.2345 0.7500 0.4563 [2 per cell]  2 Hf 3.08, 4 Bi 3.28-3.45, 2 Pa 3.39

---

#ii
Below is an optimized crystal structure of HfPaBi, with properties calculated at the GGA-PBE level.

Unit cell a=5.2419 b=5.2419 c=3.2653 alpha=90.00 beta=90.00 gamma=120.00
Last column: nearest neighbours and their distance in Å.
Space group P-6m2 (No. 187)
One atom of each set of equivalent atoms:
Hf1 0.0000 0.0000 0.0000 [1 per cell]  3 Bi 3.03, 2 Hf 3.27
Pa1 0.3333 0.6667 0.5000 [1 per cell]  2 Pa 3.27, 6 Hf 3.44, 6 Bi 3.44
Bi1 0.6667 0.3333 0.0000 [1 per cell]  3 Hf 3.03, 2 Bi 3.27

---

#iii
Below is an optimized crystal structure of HfPaBi, with properties calculated at the GGA-PBE level.

Unit cell a=3.6885 b=3.6885 c=11.4995 alpha=90.00 beta=90.00 gamma=90.00
Last column: nearest neighbours and their distance in Å.
Space group I4mm (No. 107)
One atom of each set of equivalent atoms:
Hf1 0.0000 0.0000 0.0000 [2 per cell]  4 Bi 3.04, 4 Pa 3.28
Pa1 0.0000 0.0000 0.6735 [2 per cell]  4 Hf 3.28, 5 Bi 3.40-3.56
Bi1 0.0000 0.0000 0.3637 [2 per cell]  4 Hf 3.04, 4 Pa 3.40

---

#iv
Below is an optimized crystal structure of HfPaBi, with properties calculated at the GGA-PBE level.

Unit cell a=5.1574 b=5.1574 c=21.5321 alpha=90.00 beta=90.00 gamma=120.00
Last column: nearest neighbours and their distance in Å.
Space group R-3m (No. 166, hexagonal axes)
One atom of each set of equivalent atoms:
Hf1 0.0000 0.0000 0.0680 [6 per cell]  1 Hf 2.93, 3 Pa 3.10, 4 Bi 3.17-3.18
Pa1 0.0000 0.0000 0.3607 [6 per cell]  3 Hf 3.10, 1 Bi 3.13, 3 Pa 3.20
Bi1 0.0000 0.0000 0.2155 [6 per cell]  1 Pa 3.13, 4 Hf 3.17-3.18

---

It is #iii that is most stable; the runner-up trails by 46 meV/atom.

---

#i
Below is an optimized crystal structure of HfBi3Pb, with properties calculated at the GGA-PBE level.

Unit cell a=5.6630 b=5.6630 c=5.6630 alpha=90.00 beta=90.00 gamma=90.00
Last column: nearest neighbours and their distance in Å.
Space group Pm-3m (No. 221)
One atom of each set of equivalent atoms:
Hf1 0.0000 0.0000 0.0000 [1 per cell]  6 Bi 2.83
Bi1 0.0000 0.0000 0.5000 [3 per cell]  2 Hf 2.83
Pb1 0.5000 0.5000 0.5000 [1 per cell]  12 Bi 4.00

---

#ii
Below is an optimized crystal structure of HfBi3Pb, with properties calculated at the GGA-PBE level.

Unit cell a=5.7685 b=5.7685 c=5.7685 alpha=90.00 beta=90.00 gamma=90.00
Last column: nearest neighbours and their distance in Å.
Space group Pm-3m (No. 221)
One atom of each set of equivalent atoms:
Hf1 0.0000 0.0000 0.0000 [1 per cell]  12 Bi 4.08
Bi1 0.0000 0.5000 0.5000 [3 per cell]  2 Pb 2.88
Pb1 0.5000 0.5000 0.5000 [1 per cell]  6 Bi 2.88

---

It is #i that is most stable; the runner-up trails by 960 meV/atom.

---

#i
Below is an optimized crystal structure of Hf2BiPb, with properties calculated at the GGA-PBE level.

Unit cell a=7.2638 b=7.2638 c=7.2638 alpha=90.00 beta=90.00 gamma=90.00
Last column: nearest neighbours and their distance in Å.
Space group Fm-3m (No. 225)
One atom of each set of equivalent atoms:
Hf1 0.2500 0.2500 0.2500 [8 per cell]  4 Pb 3.15, 4 Bi 3.15
Bi1 0.0000 0.0000 0.0000 [4 per cell]  8 Hf 3.15
Pb1 0.0000 0.0000 0.5000 [4 per cell]  8 Hf 3.15

---

#ii
Below is an optimized crystal structure of Hf2BiPb, with properties calculated at the GGA-PBE level.

Unit cell a=4.1682 b=4.1682 c=21.2438 alpha=90.00 beta=90.00 gamma=120.00
Last column: nearest neighbours and their distance in Å.
Space group R3m (No. 160, hexagonal axes)
One atom of each set of equivalent atoms:
Hf1 0.0000 0.0000 0.0000 [3 per cell]  3 Pb 2.97, 3 Bi 2.97
Hf2 0.0000 0.0000 0.1656 [3 per cell]  3 Pb 3.00, 3 Bi 3.02
Bi1 0.0000 0.0000 0.5850 [3 per cell]  6 Hf 2.97-3.02
Pb1 0.0000 0.0000 0.4149 [3 per cell]  6 Hf 2.97-3.00

---

It is #i that is most stable; the runner-up trails by 26 meV/atom.

---

#i
Below is an optimized crystal structure of Hf2BiPb, with properties calculated at the GGA-PBE level.

Unit cell a=4.2001 b=4.2001 c=20.6161 alpha=90.00 beta=90.00 gamma=120.00
Last column: nearest neighbours and their distance in Å.
Space group R-3m (No. 166, hexagonal axes)
One atom of each set of equivalent atoms:
Hf1 0.0000 0.0000 0.2466 [6 per cell]  3 Pb 2.93, 3 Bi 3.01
Bi1 0.0000 0.0000 0.0000 [3 per cell]  6 Hf 3.01
Pb1 0.0000 0.0000 0.5000 [3 per cell]  6 Hf 2.93

---

#ii
Below is an optimized crystal structure of Hf2BiPb, with properties calculated at the GGA-PBE level.

Unit cell a=3.6603 b=3.6603 c=7.1549 alpha=90.00 beta=90.00 gamma=90.00
Last column: nearest neighbours and their distance in Å.
Space group P4/mmm (No. 123)
One atom of each set of equivalent atoms:
Hf1 0.0000 0.0000 0.2400 [2 per cell]  4 Bi 3.11, 4 Pb 3.19, 1 Hf 3.43
Bi1 0.5000 0.5000 0.0000 [1 per cell]  8 Hf 3.11
Pb1 0.5000 0.5000 0.5000 [1 per cell]  8 Hf 3.19

---

It is #ii that is most stable; the runner-up trails by 27 meV/atom.

---

#i
Below is an optimized crystal structure of Hf2BiPb, with properties calculated at the GGA-PBE level.

Unit cell a=5.4239 b=5.4239 c=3.2695 alpha=90.00 beta=90.00 gamma=90.00
Last column: nearest neighbours and their distance in Å.
Space group P4/mmm (No. 123)
One atom of each set of equivalent atoms:
Hf1 0.0000 0.5000 0.0000 [2 per cell]  4 Pb 3.17, 4 Bi 3.17, 2 Hf 3.27
Bi1 0.0000 0.0000 0.5000 [1 per cell]  8 Hf 3.17, 2 Bi 3.27
Pb1 0.5000 0.5000 0.5000 [1 per cell]  8 Hf 3.17, 2 Pb 3.27

---

#ii
Below is an optimized crystal structure of Hf2BiPb, with properties calculated at the GGA-PBE level.

Unit cell a=6.6113 b=6.6113 c=13.3116 alpha=90.00 beta=90.00 gamma=90.00
Last column: nearest neighbours and their distance in Å.
Space group I-42d (No. 122)
One atom of each set of equivalent atoms:
Hf1 0.2412 0.2500 0.1250 [8 per cell]  2 Pb 2.84, 2 Bi 2.90
Bi1 0.0000 0.0000 0.5000 [4 per cell]  4 Hf 2.90
Pb1 0.0000 0.0000 0.0000 [4 per cell]  4 Hf 2.84

---

It is #i that is most stable; the runner-up trails by 692 meV/atom.